Entry 1:
Below is a relaxed RbTbTc2O8 crystal, with properties calculated at the PBE level.

Output
For the energy relative to the elements, uncorrected, the calculation gives -1.93 eV/atom.

Unit cell a=6.0209 b=6.0209 c=7.9864 alpha=90.00 beta=90.00 gamma=120.00
With the nearest neighbours (Å) after each atom.
Space group P-3m1 (No. 164)
Unique sites:
Rb1 0.0000 0.0000 0.0000 x1  12 O 3.15-3.48
Tb1 0.0000 0.0000 0.5000 x1  6 O 2.26
Tc1 0.3333 0.6667 0.7506 x2  4 O 1.75-1.80
O1 0.1710 0.3420 0.6745 x6  1 Tc 1.80
O2 0.3333 0.6667 0.9693 x2  1 Tc 1.75



Entry 2:
Below is a relaxed TiInTe4 crystal, with properties calculated at the PBE level.

Output
For the energy relative to the elements, uncorrected, the calculation gives -0.36 eV/atom.

Unit cell a=14.4939 b=3.9438 c=7.2737 alpha=90.00 beta=119.00 gamma=90.00
With the nearest neighbours (Å) after each atom.
Space group C2/m (No. 12)
Unique sites:
Ti1 0.0000 0.0000 0.0000 x2  6 Te 2.79
In1 0.0000 0.5000 0.5000 x2  6 Te 2.97-3.07
Te1 0.1312 0.5000 0.2714 x4  2 Ti 2.79, 1 In 3.07
Te2 0.1340 0.0000 0.8250 x4  1 Ti 2.79, 2 In 2.97



Entry 3:
Below is a relaxed Sm3Ho8Sc3 crystal, with properties calculated at the PBE level.

Output
The energy of formation from the pure elements comes out at 0.38 eV per atom.

Unit cell a=5.3743 b=9.5656 c=17.1620 alpha=90.00 beta=90.00 gamma=90.00
With the nearest neighbours (Å) after each atom.
Space group Immm (No. 71)
Unique sites:
Sm1 0.0000 0.0000 0.0000 x2  4 Ho 3.12
Sm2 0.0000 0.2418 0.5000 x4  6 Ho 3.43-3.54, 4 Sc 3.55-3.83, 2 Sm 3.65
Ho1 0.0000 0.1566 0.2991 x8  4 Ho 3.00-3.16, 1 Sc 3.33
Ho2 0.0000 0.2391 0.1240 x8  3 Ho 3.11-3.16, 3 Sm 3.12-3.43, 1 Sc 3.28
Sc1 0.0000 0.5000 0.0000 x2  4 Ho 3.28, 4 Sm 3.55
Sc2 0.0000 0.5000 0.3296 x4  6 Ho 3.33-3.62



Entry 4:
Below is a relaxed YZr5 crystal, with properties calculated at the PBE level.

Output
The energy of formation from the pure elements comes out at 0.04 eV per atom.

Unit cell a=5.2147 b=3.2826 c=17.1784 alpha=90.00 beta=90.00 gamma=90.00
With the nearest neighbours (Å) after each atom.
Space group Amm2 (No. 38)
Unique sites:
Y1 0.0000 0.0000 0.0000 x2  10 Zr 3.26-3.37, 2 Y 3.28
Zr1 0.0000 0.0000 0.3301 x2  10 Zr 3.19-3.28, 2 Y 3.35
Zr2 0.0000 0.0000 0.6710 x2  10 Zr 3.18-3.28, 2 Y 3.37
Zr3 0.5000 0.0000 0.1139 x2  10 Zr 3.23-3.44, 2 Y 3.26
Zr4 0.5000 0.0000 0.4381 x2  8 Zr 3.20-3.44, 4 Y 3.26
Zr5 0.5000 0.0000 0.7769 x2  12 Zr 3.18-3.28



Entry 5:
Below is a relaxed Ce2Zn5Au3 crystal, with properties calculated at the PBE level.

Output
The energy of formation from the pure elements comes out at -0.42 eV per atom.

Unit cell a=10.8379 b=12.5581 c=5.9286 alpha=90.00 beta=90.00 gamma=90.00
With the nearest neighbours (Å) after each atom.
Space group Ibam (No. 72)
Unique sites:
Ce1 0.2253 0.1293 0.0000 x8  6 Au 3.21-3.36, 8 Zn 3.25-3.58
Zn1 0.0000 0.2869 0.2500 x8  3 Zn 2.53-2.68, 2 Au 2.67
Zn2 0.0000 0.5000 0.2500 x4  4 Zn 2.68-2.96, 4 Au 2.69
Zn3 0.1041 0.1501 0.5000 x8  2 Zn 2.53, 3 Au 2.56-2.65
Au1 0.0000 0.0000 0.2500 x4  4 Zn 2.65, 2 Au 2.96
Au2 0.1644 0.3916 0.0000 x8  5 Zn 2.56-2.69



Entry 6:
Below is a relaxed Ge2Sb2S crystal, with properties calculated at the PBE level.

Output
For the energy relative to the elements, uncorrected, the calculation gives 0.29 eV/atom.

Unit cell a=7.4088 b=7.4088 c=4.5836 alpha=90.00 beta=90.00 gamma=90.00
With the nearest neighbours (Å) after each atom.
Space group P4/mbm (No. 127)
Unique sites:
Ge1 0.2070 0.2930 0.0000 x4  2 S 2.66, 2 Sb 2.84
Sb1 0.1333 0.6333 0.5000 x4  1 Sb 2.79, 2 Ge 2.84
S1 0.0000 0.0000 0.0000 x2  4 Ge 2.66



Entry 7:
Below is a relaxed DyZnCd11 crystal, with properties calculated at the PBE level.

Output
The energy of formation from the pure elements comes out at -0.07 eV per atom.

Unit cell a=5.9242 b=13.9324 c=7.5251 alpha=90.00 beta=112.49 gamma=90.00
With the nearest neighbours (Å) after each atom.
Space group C2/m (No. 12)
Unique sites:
Dy1 0.0000 0.0000 0.0000 x2  18 Cd 3.43-3.78, 2 Zn 3.80
Zn1 0.0000 0.5000 0.5000 x2  10 Cd 2.82-2.99
Cd1 0.0000 0.0000 0.5000 x2  8 Cd 2.91-3.01, 2 Zn 2.96
Cd2 0.0982 0.3949 0.2168 x8  1 Zn 2.82, 7 Cd 2.90-3.15
Cd3 0.1814 0.1723 0.3523 x8  8 Cd 2.98-3.34, 1 Zn 2.99
Cd4 0.2500 0.2500 0.0000 x4  10 Cd 2.90-3.09



Entry 8:
Below is a relaxed Li2MgRu crystal, with properties calculated at the PBE level.

Output
The energy of formation from the pure elements comes out at 0.14 eV per atom.

Unit cell a=9.1826 b=2.5957 c=5.2699 alpha=90.00 beta=95.07 gamma=90.00
With the nearest neighbours (Å) after each atom.
Space group Cm (No. 8)
Unique sites:
Li1 0.0000 0.0000 0.0000 x2  5 Li 2.60-2.88, 3 Ru 2.77-2.82, 2 Mg 2.79
Li2 0.2457 0.0000 0.7545 x2  5 Li 2.60-2.88, 1 Mg 2.83, 2 Ru 2.90
Mg1 0.4911 0.0000 0.4666 x2  2 Mg 2.60, 3 Ru 2.70-2.76, 3 Li 2.79-2.83
Ru1 0.2458 0.5000 0.2469 x2  2 Ru 2.60, 3 Mg 2.70-2.76, 5 Li 2.77-2.90